Compound: In6Ru
Source: Alexandria
Functional: PBE
Structure: optimized geometry

Properties
M_tot (μB per formula unit): 0.00
Energy of formation from the pure elements (meV per atom): 54
Calculated total energy (eV per atom): -3.618

a b c (Å): 8.418 7.413 10.294
angles (deg): 90.00 90.00 90.00
Space group Cmcm (No. 63)
Inequivalent atoms, fractional coordinates:
1 In 0.000 0.141 0.103
2 In 0.178 0.500 0.000
3 In 0.183 0.216 0.750
4 Ru 0.000 0.463 0.250

---

Compound: Sr2GaMo4
Source: Alexandria
Functional: PBE
Structure: optimized geometry

Properties
M_tot (μB per formula unit): 0.99
Energy of formation from the pure elements (meV per atom): 1576
Calculated total energy (eV per atom): -5.526

a b c (Å): 4.789 4.789 16.521
angles (deg): 90.00 90.00 90.00
Space group I4/mmm (No. 139)
Inequivalent atoms, fractional coordinates:
1 Sr 0.000 0.000 0.149
2 Ga 0.000 0.000 0.500
3 Mo 0.000 0.000 0.358
4 Mo 0.000 0.500 0.000